{
  "formula": "CaEr2PuSb4",
  "functional": "GGA-PBE",
  "state": "optimized geometry",
  "energy_ev_per_cell": -49.0,
  "total_magnetization_mub_per_cell": 4.612,
  "sg": "P2/m, No. 10",
  "dos_at_fermi_per_ev_fu": 17.16,
  "e_form_raw_kj_per_mol_fu": -684.1,
  "lattice_angstrom": [[7.611, 0.000, 0.000], [0.000, 4.415, 0.000], [-2.522, 0.000, 7.240]],
  "species": ["Ca", "Er", "Er", "Pu", "Sb", "Sb", "Sb", "Sb"],
  "fractional_positions": [[0.000, 0.000, 0.000], [0.000, 0.500, 0.500], [0.500, 0.000, 0.500], [0.500, 0.500, 0.000], [0.252, 0.000, 0.744], [0.258, 0.500, 0.258], [0.742, 0.500, 0.742], [0.748, 0.000, 0.256]]
}

{
  "formula": "CaEr4PuSe8",
  "functional": "GGA-PBE",
  "state": "optimized geometry",
  "energy_ev_per_cell": -86.6,
  "total_magnetization_mub_per_cell": 5.964,
  "sg": "R3m, No. 160",
  "dos_at_fermi_per_ev_fu": 17.87,
  "e_form_raw_kj_per_mol_fu": -2333.3,
  "lattice_angstrom": [[4.209, 2.430, 6.958], [-4.209, 2.430, 6.958], [0.000, -4.860, 6.958]],
  "species": ["Ca", "Er", "Er", "Er", "Er", "Pu", "Se", "Se", "Se", "Se", "Se", "Se", "Se", "Se"],
  "fractional_positions": [[0.000, 0.000, 0.000], [0.118, 0.627, 0.627], [0.249, 0.249, 0.249], [0.627, 0.118, 0.627], [0.627, 0.627, 0.118], [0.625, 0.625, 0.625], [0.376, 0.376, 0.854], [0.376, 0.854, 0.376], [0.382, 0.382, 0.382], [0.405, 0.870, 0.870], [0.854, 0.376, 0.376], [0.865, 0.865, 0.865], [0.870, 0.405, 0.870], [0.870, 0.870, 0.405]]
}

{
  "formula": "CaEr2PuSe4",
  "functional": "GGA-PBE",
  "state": "optimized geometry",
  "energy_ev_per_cell": -53.3,
  "total_magnetization_mub_per_cell": 5.894,
  "sg": "I-4m2, No. 119",
  "dos_at_fermi_per_ev_fu": 9.03,
  "e_form_raw_kj_per_mol_fu": -1338.2,
  "lattice_angstrom": [[-2.894, 2.894, 5.806], [2.894, -2.894, 5.806], [2.894, 2.894, -5.806]],
  "species": ["Ca", "Er", "Er", "Pu", "Se", "Se", "Se", "Se"],
  "fractional_positions": [[0.000, 0.000, 0.000], [0.500, 0.500, 0.000], [0.750, 0.250, 0.500], [0.250, 0.750, 0.500], [0.252, 0.252, 0.000], [0.504, 0.004, 0.500], [0.748, 0.748, 0.000], [0.996, 0.496, 0.500]]
}

{
  "formula": "Ca3Er2PuSe6",
  "functional": "GGA-PBE",
  "state": "optimized geometry",
  "energy_ev_per_cell": -72.1,
  "total_magnetization_mub_per_cell": 6.253,
  "sg": "C2/m, No. 12",
  "dos_at_fermi_per_ev_fu": 16.31,
  "e_form_raw_kj_per_mol_fu": -2097.3,
  "lattice_angstrom": [[3.569, -6.186, 0.000], [3.569, 6.186, 0.000], [-2.383, 0.000, 6.814]],
  "species": ["Ca", "Ca", "Ca", "Er", "Er", "Pu", "Se", "Se", "Se", "Se", "Se", "Se"],
  "fractional_positions": [[0.000, 0.000, 0.000], [0.335, 0.665, 0.000], [0.665, 0.335, 0.000], [0.167, 0.833, 0.500], [0.833, 0.167, 0.500], [0.500, 0.500, 0.500], [0.078, 0.418, 0.255], [0.241, 0.241, 0.744], [0.418, 0.078, 0.255], [0.582, 0.922, 0.745], [0.759, 0.759, 0.256], [0.922, 0.582, 0.745]]
}

{
  "formula": "Ca2ErPuSe4",
  "functional": "GGA-PBE",
  "state": "optimized geometry",
  "energy_ev_per_cell": -51.2,
  "total_magnetization_mub_per_cell": 6.018,
  "sg": "P2/m, No. 10",
  "dos_at_fermi_per_ev_fu": 12.65,
  "e_form_raw_kj_per_mol_fu": -1382.5,
  "lattice_angstrom": [[7.165, 0.000, 0.000], [0.000, 4.132, 0.000], [-2.388, 0.000, 6.830]],
  "species": ["Ca", "Ca", "Er", "Pu", "Se", "Se", "Se", "Se"],
  "fractional_positions": [[0.000, 0.000, 0.000], [0.500, 0.500, 0.000], [0.000, 0.500, 0.500], [0.500, 0.000, 0.500], [0.242, 0.000, 0.744], [0.246, 0.500, 0.253], [0.754, 0.500, 0.747], [0.758, 0.000, 0.256]]
}

{
  "formula": "CaErPu2Se4",
  "functional": "GGA-PBE",
  "state": "optimized geometry",
  "energy_ev_per_cell": -62.6,
  "total_magnetization_mub_per_cell": 11.774,
  "sg": "P2/m, No. 10",
  "dos_at_fermi_per_ev_fu": 17.69,
  "e_form_raw_kj_per_mol_fu": -1299.4,
  "lattice_angstrom": [[7.154, 0.000, 0.000], [0.000, 4.121, 0.000], [-2.371, 0.000, 6.778]],
  "species": ["Ca", "Er", "Pu", "Pu", "Se", "Se", "Se", "Se"],
  "fractional_positions": [[0.000, 0.000, 0.000], [0.500, 0.500, 0.000], [0.000, 0.500, 0.500], [0.500, 0.000, 0.500], [0.253, 0.500, 0.246], [0.256, 0.000, 0.757], [0.744, 0.000, 0.243], [0.747, 0.500, 0.754]]
}

{
  "formula": "CaErPu2Te4",
  "functional": "GGA-PBE",
  "state": "optimized geometry",
  "energy_ev_per_cell": -57.8,
  "total_magnetization_mub_per_cell": 11.971,
  "sg": "P2/m, No. 10",
  "dos_at_fermi_per_ev_fu": 22.15,
  "e_form_raw_kj_per_mol_fu": -966.4,
  "lattice_angstrom": [[7.662, 0.000, 0.000], [0.000, 4.409, 0.000], [-2.534, 0.000, 7.249]],
  "species": ["Ca", "Er", "Pu", "Pu", "Te", "Te", "Te", "Te"],
  "fractional_positions": [[0.000, 0.000, 0.000], [0.500, 0.500, 0.000], [0.000, 0.500, 0.500], [0.500, 0.000, 0.500], [0.253, 0.500, 0.246], [0.256, 0.000, 0.756], [0.744, 0.000, 0.244], [0.747, 0.500, 0.754]]
}

{
  "formula": "Rb3CaEr2S6",
  "functional": "GGA-PBE",
  "state": "optimized geometry",
  "energy_ev_per_cell": -58.7,
  "total_magnetization_mub_per_cell": 0.000,
  "sg": "C2/m, No. 12",
  "dos_at_fermi_per_ev_fu": 10.83,
  "e_form_raw_kj_per_mol_fu": -1925.4,
  "lattice_angstrom": [[3.543, -6.136, 0.000], [3.543, 6.136, 0.000], [-2.363, 0.000, 7.681]],
  "species": ["Rb", "Rb", "Rb", "Ca", "Er", "Er", "S", "S", "S", "S", "S", "S"],
  "fractional_positions": [[0.000, 0.000, 0.000], [0.337, 0.663, 0.000], [0.663, 0.337, 0.000], [0.500, 0.500, 0.500], [0.167, 0.833, 0.500], [0.833, 0.167, 0.500], [0.089, 0.436, 0.307], [0.218, 0.218, 0.691], [0.436, 0.089, 0.307], [0.564, 0.911, 0.693], [0.782, 0.782, 0.309], [0.911, 0.564, 0.693]]
}

{
  "formula": "Rb3CaEr2Se6",
  "functional": "GGA-PBE",
  "state": "optimized geometry",
  "energy_ev_per_cell": -54.0,
  "total_magnetization_mub_per_cell": 0.000,
  "sg": "C2/m, No. 12",
  "dos_at_fermi_per_ev_fu": 9.27,
  "e_form_raw_kj_per_mol_fu": -1836.2,
  "lattice_angstrom": [[3.676, -6.367, 0.000], [3.676, 6.367, 0.000], [-2.451, 0.000, 8.026]],
  "species": ["Rb", "Rb", "Rb", "Ca", "Er", "Er", "Se", "Se", "Se", "Se", "Se", "Se"],
  "fractional_positions": [[0.000, 0.000, 0.000], [0.336, 0.664, 0.000], [0.664, 0.336, 0.000], [0.500, 0.500, 0.500], [0.167, 0.833, 0.500], [0.833, 0.167, 0.500], [0.089, 0.434, 0.304], [0.220, 0.220, 0.695], [0.434, 0.089, 0.304], [0.566, 0.911, 0.696], [0.780, 0.780, 0.305], [0.911, 0.566, 0.696]]
}

{
  "formula": "CaErRh2",
  "functional": "GGA-PBE",
  "state": "optimized geometry",
  "energy_ev_per_cell": -23.9,
  "total_magnetization_mub_per_cell": 0.000,
  "sg": "Fm-3m, No. 225",
  "dos_at_fermi_per_ev_fu": 1.87,
  "formation_energy_mev_per_atom": -648.2,
  "lattice_angstrom": [[0.000, 3.396, 3.396], [3.396, 0.000, 3.396], [3.396, 3.396, 0.000]],
  "species": ["Ca", "Er", "Rh", "Rh"],
  "fractional_positions": [[0.000, 0.000, 0.000], [0.500, 0.500, 0.500], [0.250, 0.250, 0.250], [0.750, 0.750, 0.750]]
}

{
  "formula": "Ca2ErRh9",
  "functional": "GGA-PBE",
  "state": "optimized geometry",
  "energy_ev_per_cell": -79.2,
  "total_magnetization_mub_per_cell": 0.000,
  "sg": "R-3m, No. 166",
  "dos_at_fermi_per_ev_fu": 16.03,
  "formation_energy_mev_per_atom": -368.9,
  "lattice_angstrom": [[2.633, 1.520, 8.771], [-2.633, 1.520, 8.771], [0.000, -3.040, 8.771]],
  "species": ["Ca", "Ca", "Er", "Rh", "Rh", "Rh", "Rh", "Rh", "Rh", "Rh", "Rh", "Rh"],
  "fractional_positions": [[0.141, 0.141, 0.141], [0.859, 0.859, 0.859], [0.000, 0.000, 0.000], [0.083, 0.581, 0.581], [0.333, 0.333, 0.333], [0.419, 0.419, 0.917], [0.419, 0.917, 0.419], [0.500, 0.500, 0.500], [0.581, 0.083, 0.581], [0.581, 0.581, 0.083], [0.667, 0.667, 0.667], [0.917, 0.419, 0.419]]
}

{
  "formula": "Ca3ErRh8",
  "functional": "GGA-PBE",
  "state": "optimized geometry",
  "energy_ev_per_cell": -75.7,
  "total_magnetization_mub_per_cell": 0.000,
  "sg": "R3m, No. 160",
  "dos_at_fermi_per_ev_fu": 12.78,
  "formation_energy_mev_per_atom": -523.2,
  "lattice_angstrom": [[2.668, 1.540, 8.744], [-2.668, 1.540, 8.744], [0.000, -3.080, 8.744]],
  "species": ["Ca", "Ca", "Ca", "Er", "Rh", "Rh", "Rh", "Rh", "Rh", "Rh", "Rh", "Rh"],
  "fractional_positions": [[0.000, 0.000, 0.000], [0.124, 0.124, 0.124], [0.627, 0.627, 0.627], [0.500, 0.500, 0.500], [0.062, 0.062, 0.560], [0.062, 0.560, 0.062], [0.066, 0.563, 0.563], [0.313, 0.313, 0.313], [0.560, 0.062, 0.062], [0.563, 0.066, 0.563], [0.563, 0.563, 0.066], [0.813, 0.813, 0.813]]
}

{
  "formula": "CaErRh2",
  "functional": "GGA-PBE",
  "state": "optimized geometry",
  "energy_ev_per_cell": -24.0,
  "total_magnetization_mub_per_cell": 0.000,
  "sg": "P4/mmm, No. 123",
  "dos_at_fermi_per_ev_fu": 0.57,
  "formation_energy_mev_per_atom": -683.1,
  "lattice_angstrom": [[3.398, 0.000, 0.000], [0.000, 3.398, 0.000], [0.000, 0.000, 6.894]],
  "species": ["Ca", "Er", "Rh", "Rh"],
  "fractional_positions": [[0.000, 0.000, 0.000], [0.000, 0.000, 0.500], [0.500, 0.500, 0.269], [0.500, 0.500, 0.731]]
}

{
  "formula": "Ca2ErSb3Rh4",
  "functional": "GGA-PBE",
  "state": "optimized geometry",
  "energy_ev_per_cell": -58.2,
  "total_magnetization_mub_per_cell": 0.000,
  "sg": "P-4m2, No. 115",
  "dos_at_fermi_per_ev_fu": 6.54,
  "e_form_raw_kj_per_mol_fu": -756.3,
  "lattice_angstrom": [[4.366, 0.000, 0.000], [0.000, 4.366, 0.000], [0.000, 0.000, 11.485]],
  "species": ["Ca", "Ca", "Er", "Sb", "Sb", "Sb", "Rh", "Rh", "Rh", "Rh"],
  "fractional_positions": [[0.000, 0.500, 0.234], [0.500, 0.000, 0.766], [0.000, 0.000, 0.500], [0.000, 0.500, 0.869], [0.500, 0.000, 0.131], [0.500, 0.500, 0.500], [0.000, 0.000, 0.000], [0.000, 0.500, 0.646], [0.500, 0.000, 0.354], [0.500, 0.500, 0.000]]
}

{
  "formula": "Ca2ErSn3Rh4",
  "functional": "GGA-PBE",
  "state": "optimized geometry",
  "energy_ev_per_cell": -56.9,
  "total_magnetization_mub_per_cell": 0.000,
  "sg": "P-4m2, No. 115",
  "dos_at_fermi_per_ev_fu": 4.36,
  "formation_energy_mev_per_atom": -689.2,
  "lattice_angstrom": [[4.427, 0.000, 0.000], [0.000, 4.427, 0.000], [0.000, 0.000, 11.368]],
  "species": ["Ca", "Ca", "Er", "Sn", "Sn", "Sn", "Rh", "Rh", "Rh", "Rh"],
  "fractional_positions": [[0.000, 0.500, 0.229], [0.500, 0.000, 0.771], [0.000, 0.000, 0.500], [0.000, 0.500, 0.875], [0.500, 0.000, 0.125], [0.500, 0.500, 0.500], [0.000, 0.000, 0.000], [0.000, 0.500, 0.643], [0.500, 0.000, 0.357], [0.500, 0.500, 0.000]]
}

{
  "formula": "CaTb2ErRh4",
  "functional": "GGA-PBE",
  "state": "optimized geometry",
  "energy_ev_per_cell": -51.4,
  "total_magnetization_mub_per_cell": 0.000,
  "sg": "R-3m, No. 166",
  "dos_at_fermi_per_ev_fu": 3.07,
  "formation_energy_mev_per_atom": -767.1,
  "lattice_angstrom": [[2.417, 1.396, 7.906], [-2.417, 1.396, 7.906], [0.000, -2.791, 7.906]],
  "species": ["Ca", "Tb", "Tb", "Er", "Rh", "Rh", "Rh", "Rh"],
  "fractional_positions": [[0.000, 0.000, 0.000], [0.252, 0.252, 0.252], [0.748, 0.748, 0.748], [0.500, 0.500, 0.500], [0.128, 0.128, 0.128], [0.379, 0.379, 0.379], [0.621, 0.621, 0.621], [0.872, 0.872, 0.872]]
}

{
  "formula": "CaErTlRh",
  "functional": "GGA-PBE",
  "state": "optimized geometry",
  "energy_ev_per_cell": -17.9,
  "total_magnetization_mub_per_cell": 0.000,
  "sg": "F-43m, No. 216",
  "dos_at_fermi_per_ev_fu": 3.64,
  "formation_energy_mev_per_atom": -395.7,
  "lattice_angstrom": [[0.000, 3.603, 3.603], [3.603, 0.000, 3.603], [3.603, 3.603, 0.000]],
  "species": ["Ca", "Er", "Tl", "Rh"],
  "fractional_positions": [[0.000, 0.000, 0.000], [0.500, 0.500, 0.500], [0.250, 0.250, 0.250], [0.750, 0.750, 0.750]]
}

{
  "formula": "CaY2ErRh4",
  "functional": "GGA-PBE",
  "state": "optimized geometry",
  "energy_ev_per_cell": -55.0,
  "total_magnetization_mub_per_cell": 0.000,
  "sg": "R-3m, No. 166",
  "dos_at_fermi_per_ev_fu": 2.89,
  "formation_energy_mev_per_atom": -763.5,
  "lattice_angstrom": [[2.416, 1.395, 7.906], [-2.416, 1.395, 7.906], [0.000, -2.790, 7.906]],
  "species": ["Ca", "Y", "Y", "Er", "Rh", "Rh", "Rh", "Rh"],
  "fractional_positions": [[0.000, 0.000, 0.000], [0.252, 0.252, 0.252], [0.748, 0.748, 0.748], [0.500, 0.500, 0.500], [0.128, 0.128, 0.128], [0.378, 0.378, 0.378], [0.622, 0.622, 0.622], [0.872, 0.872, 0.872]]
}

{
  "formula": "CaErZnRh",
  "functional": "GGA-PBE",
  "state": "optimized geometry",
  "energy_ev_per_cell": -17.0,
  "total_magnetization_mub_per_cell": 0.000,
  "sg": "F-43m, No. 216",
  "dos_at_fermi_per_ev_fu": 3.01,
  "formation_energy_mev_per_atom": -442.8,
  "lattice_angstrom": [[0.000, 3.487, 3.487], [3.487, 0.000, 3.487], [3.487, 3.487, 0.000]],
  "species": ["Ca", "Er", "Zn", "Rh"],
  "fractional_positions": [[0.000, 0.000, 0.000], [0.500, 0.500, 0.500], [0.750, 0.750, 0.750], [0.250, 0.250, 0.250]]
}

{
  "formula": "CaEr3Ru2",
  "functional": "GGA-PBE",
  "state": "optimized geometry",
  "energy_ev_per_cell": -35.2,
  "total_magnetization_mub_per_cell": 0.000,
  "sg": "P6/mmm, No. 191",
  "dos_at_fermi_per_ev_fu": 4.22,
  "formation_energy_mev_per_atom": -154.1,
  "lattice_angstrom": [[6.874, 0.000, 0.000], [-3.437, 5.953, 0.000], [0.000, 0.000, 3.862]],
  "species": ["Ca", "Er", "Er", "Er", "Ru", "Ru"],
  "fractional_positions": [[0.000, 0.000, 0.000], [0.000, 0.500, 0.500], [0.500, 0.000, 0.500], [0.500, 0.500, 0.500], [0.333, 0.667, 0.000], [0.667, 0.333, 0.000]]
}